1.
# CeHfN PBE-GGA relaxed
data_CeHfN
_chemical_formula_sum 'Ce1 Hf1 N1'
_symmetry_space_group_name_H-M 'P 3 m 1'
_symmetry_Int_Tables_number 156
_symmetry_space_group_name_Hall 'P 3 -2"'
_cell_length_a 3.3015
_cell_length_b 3.3015
_cell_length_c 5.9014
_cell_angle_alpha 90.00
_cell_angle_beta 90.00
_cell_angle_gamma 120.00
loop_
_atom_site_label
_atom_site_fract_x
_atom_site_fract_y
_atom_site_fract_z
_atom_site_occupancy
Ce1 0.0000 0.0000 0.0000 1
Hf1 0.6667 0.3333 0.5353 1
N1 0.3333 0.6667 0.7208 1
# mass density = 9.915 g/cm3
# crystal system = trigonal
# E_form (uncorrected) = -989.0 meV/atom
# magnetic moment = 0.944 μB per formula unit
# energy relative to the lowest polymorph listed for this composition = 0.00 eV/f.u.
# calculated volume = 18.57 Å³ per atom
# final energy = -27.2 eV/cell

***

2.
# CuCO3 PBE-GGA relaxed
data_CuCO3
_chemical_formula_sum 'Cu2 C2 O6'
_symmetry_space_group_name_H-M 'P -1'
_symmetry_Int_Tables_number 2
_symmetry_space_group_name_Hall '-P 1'
_cell_length_a 4.214
_cell_length_b 4.830
_cell_length_c 6.663
_cell_angle_alpha 74.06
_cell_angle_beta 75.59
_cell_angle_gamma 68.13
loop_
_atom_site_label
_atom_site_fract_x
_atom_site_fract_y
_atom_site_fract_z
_atom_site_occupancy
Cu1 0.054 0.266 0.236 1
C1 0.463 0.634 0.246 1
O1 0.189 0.837 0.309 1
O2 0.241 0.321 0.829 1
O3 0.473 0.353 0.261 1
# mass density = 3.437 g/cm3
# crystal system = triclinic
# E_form (uncorrected) = -936.3 meV/atom
# magnetic moment = 0.082 μB per formula unit
# calculated volume = 11.94 Å³ per atom
# final energy = -65.8 eV/cell

***

3.
# ErCd12Hg6 PBE-GGA relaxed
data_ErCd12Hg6
_chemical_formula_sum 'Er3 Cd36 Hg18'
_symmetry_space_group_name_H-M 'R -3'
_symmetry_Int_Tables_number 148
_symmetry_space_group_name_Hall '-R 3'
_cell_length_a 11.1244
_cell_length_b 11.1244
_cell_length_c 13.1756
_cell_angle_alpha 90.00
_cell_angle_beta 90.00
_cell_angle_gamma 120.00
loop_
_atom_site_label
_atom_site_fract_x
_atom_site_fract_y
_atom_site_fract_z
_atom_site_occupancy
Er1 0.0000 0.0000 0.0000 1
Cd1 0.0911 0.9020 0.7921 1
Cd2 0.1010 0.2041 0.4007 1
Hg1 0.0308 0.5187 0.7322 1
# mass density = 9.595 g/cm3
# crystal system = trigonal
# magnetic moment = 0.000 μB per formula unit
# energy relative to the lowest polymorph listed for this composition = 0.20 eV/f.u.
# E_form = -0.032 eV/atom
# calculated volume = 24.77 Å³ per atom
# final energy = -53.9 eV/cell

***

4.
# Ba4Ga12CuIr3 PBE-GGA relaxed
data_Ba4Ga12CuIr3
_chemical_formula_sum 'Ba8 Ga24 Cu2 Ir6'
_symmetry_space_group_name_H-M 'I m -3 m'
_symmetry_Int_Tables_number 229
_symmetry_space_group_name_Hall '-I 4 2 3'
_cell_length_a 9.790
_cell_length_b 9.790
_cell_length_c 9.790
_cell_angle_alpha 90.00
_cell_angle_beta 90.00
_cell_angle_gamma 90.00
loop_
_atom_site_label
_atom_site_fract_x
_atom_site_fract_y
_atom_site_fract_z
_atom_site_occupancy
Ba1 0.250 0.250 0.250 1
Ga1 0.000 0.000 0.243 1
Ga2 0.000 0.250 0.500 1
Cu1 0.000 0.000 0.000 1
Ir1 0.000 0.000 0.500 1
# mass density = 7.172 g/cm3
# crystal system = cubic
# magnetic moment = 0.000 μB per formula unit
# E_form = -0.382 eV/atom
# calculated volume = 23.46 Å³ per atom
# final energy = -164.7 eV/cell